Record 1
Computed, not measured: an optimized crystal structure of K7TaAs4 at the GGA-PBE level of DFT.

Cell lengths 10.2730, 9.2481, 8.3784 Å; angles 90.00, 90.00, 90.00 degrees
Element x y z (fractional)
1 K 0.0000 0.0379 0.0000
2 K 0.0000 0.3434 0.2091
3 K 0.0000 0.9013 0.4757
4 K 0.2106 0.5359 0.4963
5 K 0.2149 0.1676 0.6616
6 K 0.2851 0.8324 0.1616
7 K 0.2894 0.4641 0.9963
8 K 0.5000 0.0987 0.9757
9 K 0.5000 0.6566 0.7091
10 K 0.5000 0.9621 0.5000
11 K 0.7106 0.4641 0.9963
12 K 0.7149 0.8324 0.1616
13 K 0.7851 0.1676 0.6616
14 K 0.7894 0.5359 0.4963
15 Ta 0.0000 0.6778 0.8701
16 Ta 0.5000 0.3222 0.3701
17 As 0.0000 0.4146 0.7908
18 As 0.0000 0.6858 0.1686
19 As 0.2038 0.8102 0.7745
20 As 0.2962 0.1898 0.2745
21 As 0.5000 0.3142 0.6686
22 As 0.5000 0.5854 0.2908
23 As 0.7038 0.1898 0.2745
24 As 0.7962 0.8102 0.7745

Values from the calculation:
* raw total energy: -3.65 eV/atom
* SG: Pmn2_1



Record 2
Computed, not measured: an optimized crystal structure of FeCoW4N2 at the GGA-PBE level of DFT.

Cell lengths 2.8036, 2.8036, 14.3487 Å; angles 90.00, 90.00, 120.00 degrees
Element x y z (fractional)
1 Fe 0.0000 0.0000 0.0000
2 Co 0.3333 0.6667 0.5000
3 W 0.0000 0.0000 0.3518
4 W 0.0000 0.0000 0.6482
5 W 0.3333 0.6667 0.1488
6 W 0.3333 0.6667 0.8512
7 N 0.6667 0.3333 0.2499
8 N 0.6667 0.3333 0.7501

Values from the calculation:
* raw total energy: -10.31 eV/atom
* SG: P-6m2



Record 3
Computed, not measured: an optimized crystal structure of KLiTh at the GGA-PBE level of DFT.

Cell lengths 5.3855, 5.3855, 5.3855 Å; angles 60.00, 60.00, 60.00 degrees
Element x y z (fractional)
1 K 0.0000 0.0000 0.0000
2 Li 0.2500 0.2500 0.2500
3 Th 0.5000 0.5000 0.5000

Values from the calculation:
* E above lowest polymorph: 0.00 eV/f.u.
* SG: F-43m



Record 4
Computed, not measured: an optimized crystal structure of ZrInCuS3 at the GGA-PBE level of DFT.

Cell lengths 7.8967, 3.7322, 9.6812 Å; angles 90.00, 111.67, 90.00 degrees
Element x y z (fractional)
1 Zr 0.1993 0.2500 0.1630
2 Zr 0.8007 0.7500 0.8370
3 In 0.2239 0.7500 0.7047
4 In 0.7761 0.2500 0.2953
5 Cu 0.4229 0.7500 0.3965
6 Cu 0.5771 0.2500 0.6035
7 S 0.0484 0.2500 0.8687
8 S 0.2630 0.2500 0.4377
9 S 0.4205 0.7500 0.1560
10 S 0.5795 0.2500 0.8440
11 S 0.7370 0.7500 0.5623
12 S 0.9516 0.7500 0.1313

Values from the calculation:
* raw total energy: -5.48 eV/atom
* SG: P2_1/m



Record 5
Computed, not measured: an optimized crystal structure of PrGdCCl at the GGA-PBE level of DFT.

Cell lengths 3.7324, 3.7324, 14.2408 Å; angles 90.00, 90.00, 120.00 degrees
Element x y z (fractional)
1 Pr 0.3333 0.6667 0.4014
2 Pr 0.6667 0.3333 0.5986
3 Gd 0.3333 0.6667 0.0917
4 Gd 0.6667 0.3333 0.9083
5 C 0.0000 0.0000 0.0000
6 C 0.0000 0.0000 0.5000
7 Cl 0.3333 0.6667 0.7633
8 Cl 0.6667 0.3333 0.2367

Values from the calculation:
* raw total energy: -6.17 eV/atom
* SG: P-3m1



Record 6
Computed, not measured: an optimized crystal structure of TbGdCuSe3 at the GGA-PBE level of DFT.

Cell lengths 6.9274, 6.9274, 10.5676 Å; angles 90.00, 90.00, 147.21 degrees
Element x y z (fractional)
1 Tb 0.0000 0.0000 0.0000
2 Tb 0.0000 0.0000 0.5000
3 Gd 0.2301 0.7699 0.7500
4 Gd 0.7699 0.2301 0.2500
5 Cu 0.4743 0.5257 0.2500
6 Cu 0.5257 0.4743 0.7500
7 Se 0.0953 0.9047 0.2500
8 Se 0.3527 0.6473 0.0738
9 Se 0.3527 0.6473 0.4262
10 Se 0.6473 0.3527 0.5738
11 Se 0.6473 0.3527 0.9262
12 Se 0.9047 0.0953 0.7500

Values from the calculation:
* raw total energy: -5.31 eV/atom
* SG: Cmcm



Record 7
Computed, not measured: an optimized crystal structure of PrNdNi2As4 at the GGA-PBE level of DFT.

Cell lengths 4.0041, 4.0041, 9.8898 Å; angles 90.00, 90.00, 90.00 degrees
Element x y z (fractional)
1 Pr 0.0000 0.0000 0.0000
2 Nd 0.5000 0.5000 0.5161
3 Ni 0.0000 0.5000 0.2598
4 Ni 0.5000 0.0000 0.2598
5 As 0.0000 0.0000 0.3908
6 As 0.0000 0.5000 0.7566
7 As 0.5000 0.0000 0.7566
8 As 0.5000 0.5000 0.1291

Values from the calculation:
* raw total energy: -5.79 eV/atom
* SG: P4mm



Record 8
Computed, not measured: an optimized crystal structure of PrNdB4Os4 at the GGA-PBE level of DFT.

Cell lengths 6.8163, 6.0257, 5.6500 Å; angles 71.36, 56.89, 51.76 degrees
Element x y z (fractional)
1 Pr 0.0000 0.0000 0.0000
2 Nd 0.2500 0.2500 0.2500
3 B 0.3160 0.6840 0.3160
4 B 0.5657 0.9343 0.5657
5 B 0.6840 0.3160 0.6840
6 B 0.9343 0.5657 0.9343
7 Os 0.3634 0.3634 0.6366
8 Os 0.6136 0.6136 0.8864
9 Os 0.6366 0.6366 0.3634
10 Os 0.8864 0.8864 0.6136

Values from the calculation:
* raw total energy: -8.54 eV/atom
* SG: F222